# 1
VASP calculation (GGA-PBE) on a relaxed structure of Tl2FePb.

Unit cell a=11.6724 b=11.6724 c=11.6724 alpha=158.58 beta=158.58 gamma=30.48
Element x y z (fractional)
Tl 0.1123 0.6250 0.9873
Tl 0.3750 0.3623 0.4873
Tl 0.6377 0.1250 0.0127
Tl 0.8750 0.8877 0.5127
Fe 0.0000 0.0000 0.0000
Fe 0.7500 0.2500 0.5000
Pb 0.2500 0.7500 0.5000
Pb 0.5000 0.5000 0.0000

Output
Calculated total energy ... -3.625 eV/atom
Energy above the lowest structure with this stoichiometry ... 228.4 meV/atom
Fermi-level density of states ... 13.63 states/eV/cell
Formation energy from the elements ... 2.404 eV per formula unit
Total magnetic moment ... 2.906 μB per formula unit

=====

# 2
VASP calculation (GGA-PBE) on a relaxed structure of TlFePb2.

Unit cell a=4.4874 b=3.2935 c=7.4624 alpha=90.00 beta=107.37 gamma=90.00
Element x y z (fractional)
Tl 0.0000 0.0000 0.0000
Fe 0.8269 0.5000 0.6579
Pb 0.3076 0.0000 0.6188
Pb 0.6340 0.5000 0.2696

Output
Calculated total energy ... -4.177 eV/atom
Energy above the lowest structure with this stoichiometry ... 65.0 meV/atom
Fermi-level density of states ... 4.16 states/eV/cell
Formation energy from the elements ... 1.536 eV per formula unit
Total magnetic moment ... 2.360 μB per formula unit

=====

# 3
VASP calculation (GGA-PBE) on a relaxed structure of TlFe2Pb.

Unit cell a=5.4488 b=5.4488 c=5.4488 alpha=135.97 beta=135.97 gamma=64.03
Element x y z (fractional)
Tl 0.0000 0.0000 0.0000
Fe 0.2500 0.7500 0.5000
Fe 0.5000 0.5000 0.0000
Pb 0.7500 0.2500 0.5000

Output
Calculated total energy ... -5.041 eV/atom
Fermi-level density of states ... 4.20 states/eV/cell
Formation energy from the elements ... 2.836 eV per formula unit
Total magnetic moment ... 5.443 μB per formula unit